CdIr | PBE | optimized geometry

Unit cell a=4.3069 b=4.3069 c=4.3069 alpha=60.00 beta=60.00 gamma=60.00
Atoms (fractional coordinates):
Ir 0.2500 0.2500 0.2500
Cd 0.0000 0.0000 0.0000

Calculated values
energy of formation from the pure elements = 1.724 eV/atom
magnetization = 0.4885 μB/atom
symmetry = No. 216